(1)
A relaxed SmGdPdAu crystal, computed with PBE-GGA.

Structure (POSCAR):
```
SmGdPdAu
1.0
-0.217 3.984 -3.186
-4.478 1.440 -1.986
-2.178 4.362 1.513
Sm Pd Au Gd
1 1 1 1
Direct
0.750 0.750 0.750
0.500 0.500 0.500
0.000 0.000 0.000
0.250 0.250 0.250
```

**Density**: 10.782 g/cm3
**Symmetry**: No. 216
**Energy of formation from the pure elements**: -0.80 eV per atom

=====

(2)
A relaxed GdSnPdAu crystal, computed with PBE-GGA.

Structure (POSCAR):
```
GdSnPdAu
1.0
4.918 0.000 0.000
2.459 4.259 0.000
2.459 1.420 4.015
Pd Gd Au Sn
1 1 1 1
Direct
0.000 0.000 0.000
0.750 0.750 0.750
0.500 0.500 0.500
0.250 0.250 0.250
```

**Density**: 11.440 g/cm3
**Symmetry**: No. 216
**Energy of formation from the pure elements**: -0.74 eV per atom

=====

(3)
A relaxed SrGdPdAu crystal, computed with PBE-GGA.

Structure (POSCAR):
```
SrGdPdAu
1.0
-4.810 1.500 -1.258
-2.374 -2.082 -4.123
-3.993 -3.252 0.671
Au Gd Pd Sr
1 1 1 1
Direct
0.000 0.000 0.000
0.750 0.750 0.750
0.500 0.500 0.500
0.250 0.250 0.250
```

**Density**: 9.190 g/cm3
**Symmetry**: No. 216
**Energy of formation from the pure elements**: -0.68 eV per atom

=====

(4)
A relaxed TbGdPdAu crystal, computed with PBE-GGA.

Structure (POSCAR):
```
TbGdPdAu
1.0
5.062 0.000 0.000
2.531 4.384 0.000
2.531 1.461 4.133
Pd Gd Tb Au
1 1 1 1
Direct
0.500 0.500 0.500
0.250 0.250 0.250
0.750 0.750 0.750
0.000 0.000 0.000
```

**Density**: 11.216 g/cm3
**Symmetry**: No. 216
**Energy of formation from the pure elements**: -0.84 eV per atom

=====

(5)
A relaxed GdTlPdAu crystal, computed with PBE-GGA.

Structure (POSCAR):
```
GdTlPdAu
1.0
4.960 0.000 0.000
2.480 4.295 0.000
2.480 1.432 4.049
Tl Pd Gd Au
1 1 1 1
Direct
0.250 0.250 0.250
0.500 0.500 0.500
0.750 0.750 0.750
0.000 0.000 0.000
```

**Density**: 12.802 g/cm3
**Symmetry**: No. 216
**Energy of formation from the pure elements**: -0.57 eV per atom

=====

(6)
A relaxed GdYPdAu crystal, computed with PBE-GGA.

Structure (POSCAR):
```
GdYPdAu
1.0
5.058 0.000 0.000
2.529 4.381 0.000
2.529 1.460 4.130
Au Pd Y Gd
1 1 1 1
Direct
0.000 0.000 0.000
0.500 0.500 0.500
0.750 0.750 0.750
0.250 0.250 0.250
```

**Density**: 9.972 g/cm3
**Symmetry**: No. 216
**Energy of formation from the pure elements**: -0.84 eV per atom

=====

(7)
A relaxed GdZnPdAu crystal, computed with PBE-GGA.

Structure (POSCAR):
```
GdZnPdAu
1.0
-4.404 1.525 1.154
-3.822 -2.732 -0.989
-2.419 -2.125 3.562
Zn Pd Gd Au
1 1 1 1
Direct
0.000 0.000 0.000
0.750 0.750 0.750
0.500 0.500 0.500
0.250 0.250 0.250
```

**Density**: 11.159 g/cm3
**Symmetry**: No. 216
**Energy of formation from the pure elements**: -0.62 eV per atom

=====

(8)
A relaxed GdZrPdAu crystal, computed with PBE-GGA.

Structure (POSCAR):
```
GdZrPdAu
1.0
4.941 0.000 0.000
2.470 4.279 0.000
2.470 1.426 4.034
Pd Gd Au Zr
1 1 1 1
Direct
0.250 0.250 0.250
0.000 0.000 0.000
0.750 0.750 0.750
0.500 0.500 0.500
```

**Density**: 10.744 g/cm3
**Symmetry**: No. 216
**Energy of formation from the pure elements**: -0.59 eV per atom

=====

(9)
A relaxed PmGd2Au crystal, computed with PBE-GGA.

Structure (POSCAR):
```
PmGd2Au
1.0
-2.870 -1.726 -1.470
1.814 -3.170 0.181
-3.213 -1.387 7.901
Au Gd Pm
1 2 1
Direct
0.500 0.500 0.000
0.000 0.000 0.205
0.000 0.000 0.795
0.500 0.500 0.500
```

**Density**: 9.432 g/cm3
**Symmetry**: No. 123
**Energy of formation from the pure elements**: -0.39 eV per atom

=====

(10)
A relaxed PmGd2Au crystal, computed with PBE-GGA.

Structure (POSCAR):
```
PmGd2Au
1.0
-0.052 4.330 -1.753
-2.583 1.516 3.822
4.111 1.012 2.377
Gd Au Pm
2 1 1
Direct
0.000 0.000 0.500
0.000 0.500 0.000
0.500 0.500 0.500
0.500 0.000 0.000
```

**Density**: 9.898 g/cm3
**Symmetry**: No. 123
**Energy of formation from the pure elements**: -0.25 eV per atom

=====

(11)
A relaxed PmGd2Au crystal, computed with PBE-GGA.

Structure (POSCAR):
```
PmGd2Au
1.0
3.548 0.000 0.000
1.774 3.073 0.000
1.774 1.024 11.409
Pm Gd Au
1 2 1
Direct
0.500 0.500 0.500
0.083 0.083 0.752
0.917 0.917 0.248
0.000 0.000 0.000
```

**Density**: 8.765 g/cm3
**Symmetry**: No. 166
**Energy of formation from the pure elements**: 0.14 eV per atom

=====

(12)
A relaxed PmGdRhAu crystal, computed with PBE-GGA.

Structure (POSCAR):
```
PmGdRhAu
1.0
5.065 0.000 0.000
2.533 4.386 0.000
2.533 1.462 4.136
Pm Au Rh Gd
1 1 1 1
Direct
0.750 0.750 0.750
0.000 0.000 0.000
0.500 0.500 0.500
0.250 0.250 0.250
```

**Density**: 10.882 g/cm3
**Symmetry**: No. 216
**Energy of formation from the pure elements**: -0.75 eV per atom